! Mn2InPF (GGA+U, optimized geometry); values from VASP
! Space-group type = P4/mmm (123)
! Size of the total moment = 1.800 μB per atom
! Total DFT energy (no corrections) = -25.2 eV/cell
&SYSTEM
  ibrav = 0, nat = 5, ntyp = 4
/
ATOMIC_SPECIES
Mn 54.94 Mn.upf
In 114.82 In.upf
F 19.00 F.upf
P 30.97 P.upf
CELL_PARAMETERS angstrom
4.615 0.000 0.000
0.000 6.683 0.000
0.000 0.000 4.615
ATOMIC_POSITIONS angstrom
Mn 0.000 0.000 2.307
Mn 2.307 0.000 0.000
In 0.000 3.341 0.000
F 2.307 3.341 2.307
P 0.000 0.000 0.000